(1)
Compound: Sc2Ga2Au
Source: OQMD via LeMat-Bulk
Functional: GGA-PBE
Structure: relaxed

The space group is I4/mmm (No. 139) and the conventional cell measures 3.796, 3.796 and 13.319 Å, with angles of 90.00, 90.00 and 90.00 degrees. Symmetry generates all atoms from Sc at (0.000, 0.000, 0.098), Ga at (0.000, 0.500, 0.250) and Au at (0.000, 0.000, 0.500).

The value obtained for the raw total energy is -0.1677 hartree per atom.

(2)
Compound: ScGaAu2
Source: OQMD via LeMat-Bulk
Functional: GGA-PBE
Structure: relaxed

The space group is F-43m (No. 216) and the conventional cell measures 6.621, 6.621 and 6.621 Å, with angles of 90.00, 90.00 and 90.00 degrees. Symmetry generates all atoms from Sc at (0.000, 0.000, 0.000), Ga at (0.250, 0.250, 0.750), Au at (0.000, 0.000, 0.500) and Au at (0.250, 0.250, 0.250).

The value obtained for the raw total energy is -0.1655 hartree per atom.

(3)
Compound: ScGa2Au2
Source: OQMD via LeMat-Bulk
Functional: GGA-PBE
Structure: relaxed

The space group is I4/mmm (No. 139) and the conventional cell measures 4.266, 4.266 and 10.555 Å, with angles of 90.00, 90.00 and 90.00 degrees. Symmetry generates all atoms from Sc at (0.000, 0.000, 0.000), Ga at (0.000, 0.000, 0.388) and Au at (0.000, 0.500, 0.250).

The value obtained for the raw total energy is -0.1536 hartree per atom.

(4)
Compound: Sc2Ga2Au
Source: OQMD via LeMat-Bulk
Functional: GGA-PBE
Structure: relaxed

The space group is P4/mbm (No. 127) and the conventional cell measures 6.718, 6.718 and 4.163 Å, with angles of 90.00, 90.00 and 90.00 degrees. Symmetry generates all atoms from Sc at (0.169, 0.331, 0.000), Ga at (0.133, 0.633, 0.500) and Au at (0.000, 0.000, 0.500).

The value obtained for the raw total energy is -0.1869 hartree per atom.

(5)
Compound: Sc2Ga2Au
Source: OQMD via LeMat-Bulk
Functional: GGA-PBE
Structure: relaxed

The space group is I4/mmm (No. 139) and the conventional cell measures 4.225, 4.225 and 11.790 Å, with angles of 90.00, 90.00 and 90.00 degrees. Symmetry generates all atoms from Sc at (0.000, 0.500, 0.250), Ga at (0.000, 0.000, 0.097) and Au at (0.000, 0.000, 0.500).

The value obtained for the raw total energy is -0.1624 hartree per atom.

(6)
Compound: ZrScGa2Au2
Source: OQMD via LeMat-Bulk
Functional: GGA-PBE
Structure: relaxed

The space group is P-6m2 (No. 187) and the conventional cell measures 4.4161, 4.4161 and 6.6574 Å, with angles of 90.00, 90.00 and 120.00 degrees. Symmetry generates all atoms from Zr at (0.0000, 0.0000, 0.0000), Sc at (0.0000, 0.0000, 0.5000), Ga at (0.6667, 0.3333, 0.2147) and Au at (0.3333, 0.6667, 0.2738).

The value obtained for the raw total energy is -0.1927 hartree per atom.

(7)
Compound: GaAuSe2
Source: OQMD via LeMat-Bulk
Functional: GGA-PBE
Structure: relaxed

The space group is C2 (No. 5) and the conventional cell measures 14.809, 5.689 and 5.687 Å, with angles of 90.00, 112.37 and 90.00 degrees. Symmetry generates all atoms from Ga at (0.250, 0.000, 0.250), Au at (0.105, 0.000, 0.607), Se at (0.141, 0.296, 0.346) and Se at (0.141, 0.704, 0.939).

The value obtained for the raw total energy is -0.1355 hartree per atom.

(8)
Compound: GaAuSe2
Source: OQMD via LeMat-Bulk
Functional: GGA-PBE
Structure: relaxed

The space group is Pna2_1 (No. 33) and the conventional cell measures 6.975, 8.759 and 6.844 Å, with angles of 90.00, 90.00 and 90.00 degrees. Symmetry generates all atoms from Ga at (0.063, 0.136, 0.000), Au at (0.124, 0.706, 0.057), Se at (0.071, 0.102, 0.363) and Se at (0.095, 0.626, 0.408).

The value obtained for the raw total energy is -0.1346 hartree per atom.

(9)
Compound: GaAuSe2
Source: OQMD via LeMat-Bulk
Functional: GGA-PBE
Structure: relaxed

The space group is P-1 (No. 2) and the conventional cell measures 6.279, 6.292 and 6.474 Å, with angles of 89.88, 89.82 and 89.73 degrees. Symmetry generates all atoms from Ga at (0.000, 0.000, 0.250), Au at (0.000, 0.500, 0.000), Au at (0.500, 0.000, 0.500), Se at (0.188, 0.767, 0.500) and Se at (0.233, 0.186, 0.999).

The value obtained for the raw total energy is -0.1368 hartree per atom.

(10)
Compound: TlGaAu2Se4
Source: OQMD via LeMat-Bulk
Functional: GGA-PBE
Structure: relaxed

The space group is I-4 (No. 82) and the conventional cell measures 6.069, 6.069 and 12.050 Å, with angles of 90.00, 90.00 and 90.00 degrees. Symmetry generates all atoms from Tl at (0.000, 0.000, 0.000), Ga at (0.000, 0.500, 0.250), Au at (0.000, 0.000, 0.500), Au at (0.000, 0.500, 0.750) and Se at (0.229, 0.251, 0.365).

The value obtained for the raw total energy is -0.1270 hartree per atom.

(11)
Compound: GaSi2Au2
Source: OQMD via LeMat-Bulk
Functional: GGA-PBE
Structure: relaxed

The space group is I4/mmm (No. 139) and the conventional cell measures 4.364, 4.364 and 10.059 Å, with angles of 90.00, 90.00 and 90.00 degrees. Symmetry generates all atoms from Ga at (0.000, 0.000, 0.000), Si at (0.000, 0.000, 0.383) and Au at (0.000, 0.500, 0.250).

The value obtained for the raw total energy is -0.1461 hartree per atom.

(12)
Compound: SmGa2Au2
Source: OQMD via LeMat-Bulk
Functional: GGA-PBE
Structure: relaxed

The space group is I4/mmm (No. 139) and the conventional cell measures 4.453, 4.453 and 10.296 Å, with angles of 90.00, 90.00 and 90.00 degrees. Symmetry generates all atoms from Sm at (0.000, 0.000, 0.000), Ga at (0.000, 0.000, 0.382) and Au at (0.000, 0.500, 0.250).

The value obtained for the raw total energy is -0.1497 hartree per atom.

Which formula does entry 11 have?
GaSi2Au2

Please write out number 2 again, unchanged.
Compound: ScGaAu2
Source: OQMD via LeMat-Bulk
Functional: GGA-PBE
Structure: relaxed

The space group is F-43m (No. 216) and the conventional cell measures 6.621, 6.621 and 6.621 Å, with angles of 90.00, 90.00 and 90.00 degrees. Symmetry generates all atoms from Sc at (0.000, 0.000, 0.000), Ga at (0.250, 0.250, 0.750), Au at (0.000, 0.000, 0.500) and Au at (0.250, 0.250, 0.250).

The value obtained for the raw total energy is -0.1655 hartree per atom.

Which of these has the lowest raw total energy?
ZrScGa2Au2

Which of these has the highest raw total energy?
TlGaAu2Se4